The following is a DFT calculation (PBE) of crystalline SrInGaHIr at its relaxed geometry.

Properties
**E**: -0.156 Ha/atom
**SG**: P3m1
**Energy above the most stable polymorph in this dataset**: 155 meV/atom

Unit cell a=4.486 b=4.486 c=6.212 alpha=90.00 beta=90.00 gamma=120.00
Sites, in units of the cell vectors:
Sr (0.000, 0.000, 0.000)
In (0.333, 0.667, 0.612)
Ga (0.667, 0.333, 0.406)
H (0.333, 0.667, 0.946)
Ir (0.000, 0.000, 0.483)